## CrSiBiC2 (GGA-PBE)

Data for a geometry-optimized CrSiBiC2 structure.

It has space group P4/mmm (No. 123), with a = 3.900 Å, b = 3.900 Å, c = 4.930 Å, α = 90.00°, β = 90.00° and γ = 90.00°. The inequivalent atoms are Cr at (0.000, 0.000, 0.000), Si at (0.000, 0.000, 0.500), Bi at (0.500, 0.500, 0.500) and C at (0.000, 0.500, 0.000).

The raw formation energy comes out at 1.37 eV/atom. The energy is -6.1044 eV/atom. The total magnetic moment is 0.0 μB/f.u.



## CrBi2WC (GGA-PBE)

Data for a geometry-optimized CrBi2WC structure.

It has space group P4/mmm (No. 123), with a = 4.989 Å, b = 4.989 Å, c = 3.991 Å, α = 90.00°, β = 90.00° and γ = 90.00°. The inequivalent atoms are Cr at (0.000, 0.000, 0.000), Bi at (0.000, 0.500, 0.500), W at (0.500, 0.500, 0.000) and C at (0.500, 0.500, 0.500).

As for the calculated formation energy: 1421 meV/atom. The energy is -6.4910 eV/atom. The total magnetic moment is 0.4 μB/f.u.